Entry 1:
Below is KLaI4 after structural relaxation, with properties calculated at the PBE-GGA level.

```
KLaI4
1.0
5.490 -8.835 0.000
5.490 8.835 0.000
-4.865 0.000 6.298
K La I
2 2 8
direct
0.156 0.844 0.750
0.844 0.156 0.250
0.418 0.582 0.250
0.582 0.418 0.750
0.132 0.544 0.321
0.233 0.314 0.753
0.314 0.233 0.253
0.456 0.868 0.179
0.544 0.132 0.821
0.686 0.767 0.747
0.767 0.686 0.247
0.868 0.456 0.679
```

Calculated values
The total energy is -0.259 Ry/atom. The magnetization is 0.00 μB per formula unit. The space group is C2/c. The energy above the lowest structure with this stoichiometry comes out at 0.007 eV/atom.

---

Entry 2:
Below is KLa2I6 after structural relaxation, with properties calculated at the PBE-GGA level.

```
KLa2I6
1.0
9.178 -5.591 0.000
9.178 5.591 0.000
-1.972 0.000 7.313
K La I
2 4 12
direct
0.242 0.758 0.750
0.758 0.242 0.250
0.249 0.252 0.003
0.252 0.249 0.503
0.748 0.751 0.497
0.751 0.748 0.997
0.039 0.177 0.663
0.055 0.554 0.783
0.177 0.039 0.163
0.322 0.462 0.343
0.446 0.945 0.717
0.462 0.322 0.843
0.538 0.678 0.157
0.554 0.055 0.283
0.678 0.538 0.657
0.823 0.961 0.837
0.945 0.446 0.217
0.961 0.823 0.337
```

Calculated values
The total energy is -0.272 Ry/atom. The magnetization is 0.00 μB per formula unit. The space group is C2/c.

---

Entry 3:
Below is KLaI3 after structural relaxation, with properties calculated at the PBE-GGA level.

```
KLaI3
1.0
6.306 0.000 0.000
0.000 6.306 0.000
0.000 0.000 6.306
K La I
1 1 3
direct
0.000 0.000 0.000
0.500 0.500 0.500
0.000 0.500 0.500
0.500 0.000 0.500
0.500 0.500 0.000
```

Calculated values
The total energy is -0.249 Ry/atom. The magnetization is 0.00 μB per formula unit. The space group is Pm-3m. The energy above the lowest structure with this stoichiometry comes out at 0.148 eV/atom.

---

Entry 4:
Below is K2LaI5 after structural relaxation, with properties calculated at the PBE-GGA level.

```
K2LaI5
1.0
14.720 0.000 0.000
0.000 9.987 0.000
0.000 0.000 9.313
K La I
8 4 20
direct
0.174 0.003 0.054
0.174 0.497 0.054
0.326 0.503 0.554
0.326 0.997 0.554
0.674 0.003 0.446
0.674 0.497 0.446
0.826 0.503 0.946
0.826 0.997 0.946
0.006 0.250 0.579
0.494 0.750 0.079
0.506 0.250 0.921
0.994 0.750 0.421
0.008 0.250 0.931
0.079 0.546 0.667
0.079 0.954 0.667
0.181 0.250 0.370
0.207 0.750 0.334
0.293 0.250 0.834
0.319 0.750 0.870
0.421 0.046 0.167
0.421 0.454 0.167
0.492 0.750 0.431
0.508 0.250 0.569
0.579 0.546 0.833
0.579 0.954 0.833
0.681 0.250 0.130
0.707 0.750 0.166
0.793 0.250 0.666
0.819 0.750 0.630
0.921 0.046 0.333
0.921 0.454 0.333
0.992 0.750 0.069
```

Calculated values
The total energy is -0.248 Ry/atom. The magnetization is 0.00 μB per formula unit. The space group is Pnma. The energy above the lowest structure with this stoichiometry comes out at 0.000 eV/atom.

---

Entry 5:
Below is KLiLa2I8 after structural relaxation, with properties calculated at the PBE-GGA level.

```
KLiLa2I8
1.0
7.603 0.000 0.000
0.000 9.679 0.000
-0.836 0.000 7.812
K Li La I
1 1 2 8
direct
0.000 0.000 0.000
0.000 0.500 0.000
0.500 0.257 0.500
0.500 0.743 0.500
0.223 0.282 0.177
0.223 0.718 0.177
0.285 0.500 0.665
0.293 0.000 0.653
0.707 0.000 0.347
0.715 0.500 0.335
0.777 0.282 0.823
0.777 0.718 0.823
```

Calculated values
The total energy is -0.259 Ry/atom. The magnetization is 0.00 μB per formula unit. The space group is P2/m.

---

Entry 6:
Below is KLiLaI5 after structural relaxation, with properties calculated at the PBE-GGA level.

```
KLiLaI5
1.0
5.075 -6.949 0.000
5.075 6.949 0.000
-4.671 0.000 10.758
K Li La I
2 2 2 10
direct
0.138 0.862 0.750
0.862 0.138 0.250
0.191 0.809 0.250
0.809 0.191 0.750
0.500 0.500 0.000
0.500 0.500 0.500
0.112 0.248 0.937
0.172 0.571 0.375
0.248 0.112 0.437
0.405 0.595 0.750
0.429 0.828 0.125
0.571 0.172 0.875
0.595 0.405 0.250
0.752 0.888 0.563
0.828 0.429 0.625
0.888 0.752 0.063
```

Calculated values
The total energy is -0.248 Ry/atom. The magnetization is 0.00 μB per formula unit. The space group is C2/c.

---

Entry 7:
Below is K2LaMnI after structural relaxation, with properties calculated at the PBE-GGA level.

```
K2LaMnI
1.0
6.662 0.000 0.000
0.000 6.662 0.000
0.000 0.000 4.902
K La Mn I
2 1 1 1
direct
0.000 0.500 0.000
0.500 0.000 0.000
0.000 0.000 0.500
0.000 0.000 0.000
0.500 0.500 0.500
```

Calculated values
The total energy is -0.246 Ry/atom. The magnetization is 1.96 μB per formula unit. The space group is P4/mmm.

---

Entry 8:
Below is KLaI2N after structural relaxation, with properties calculated at the PBE-GGA level.

```
KLaI2N
1.0
6.128 0.000 0.000
0.000 6.128 0.000
0.000 0.000 4.746
K La I N
1 1 2 1
direct
0.000 0.000 0.000
0.500 0.500 0.500
0.000 0.500 0.000
0.500 0.000 0.000
0.000 0.000 0.500
```

Calculated values
The total energy is -0.234 Ry/atom. The magnetization is 1.03 μB per formula unit. The space group is P4/mmm. The energy above the lowest structure with this stoichiometry comes out at 1.262 eV/atom.

---

Entry 9:
Below is KLaI2N after structural relaxation, with properties calculated at the PBE-GGA level.

```
KLaI2N
1.0
6.624 0.000 0.000
0.000 6.624 0.000
0.000 0.000 4.256
K La I N
1 1 2 1
direct
0.000 0.000 0.000
0.500 0.500 0.500
0.000 0.500 0.500
0.500 0.000 0.500
0.500 0.500 0.000
```

Calculated values
The total energy is -0.327 Ry/atom. The magnetization is 0.30 μB per formula unit. The space group is P4/mmm. The energy above the lowest structure with this stoichiometry comes out at 0.000 eV/atom.

---

Entry 10:
Below is K2NaLaI6 after structural relaxation, with properties calculated at the PBE-GGA level.

```
K2NaLaI6
1.0
8.343 0.000 0.000
0.000 8.921 0.000
-7.974 0.000 12.005
K Na La I
4 2 2 12
direct
0.207 0.091 0.243
0.207 0.409 0.743
0.793 0.591 0.257
0.793 0.909 0.757
0.000 0.000 0.500
0.000 0.500 0.000
0.500 0.000 0.000
0.500 0.500 0.500
0.131 0.190 0.940
0.131 0.310 0.440
0.255 0.699 0.936
0.255 0.801 0.436
0.379 0.037 0.750
0.379 0.463 0.250
0.621 0.537 0.750
0.621 0.963 0.250
0.745 0.199 0.564
0.745 0.301 0.064
0.869 0.690 0.560
0.869 0.810 0.060
```

Calculated values
The total energy is -0.238 Ry/atom. The magnetization is 0.00 μB per formula unit. The space group is P2_1/c.

---

Entry 11:
Below is KNaLa2I8 after structural relaxation, with properties calculated at the PBE-GGA level.

```
KNaLa2I8
1.0
8.299 0.000 0.000
-4.150 7.187 0.000
0.000 0.000 9.291
K Na La I
1 1 2 8
direct
0.000 0.000 0.000
0.000 0.000 0.500
0.333 0.667 0.407
0.667 0.333 0.593
0.066 0.365 0.664
0.300 0.934 0.664
0.333 0.667 0.077
0.365 0.300 0.336
0.635 0.700 0.664
0.667 0.333 0.923
0.700 0.066 0.336
0.934 0.635 0.336
```

Calculated values
The total energy is -0.254 Ry/atom. The magnetization is 0.00 μB per formula unit. The space group is P-3.

---

Entry 12:
Below is KLaI2O8 after structural relaxation, with properties calculated at the PBE-GGA level.

```
KLaI2O8
1.0
6.664 -3.345 0.000
6.664 3.345 0.000
-1.342 0.000 4.531
K La I O
1 1 2 8
direct
0.000 0.000 0.000
0.500 0.500 0.500
0.214 0.214 0.688
0.786 0.786 0.312
0.083 0.673 0.460
0.213 0.213 0.071
0.327 0.917 0.540
0.441 0.441 0.963
0.559 0.559 0.037
0.673 0.083 0.460
0.787 0.787 0.929
0.917 0.327 0.540
```

Calculated values
The total energy is -0.384 Ry/atom. The magnetization is 0.07 μB per formula unit. The space group is C2/m.

---

Results for formation energy (no corrections): -1486, -1448, -1251, -1517, -1421, -1414, 216, 301, -961, -1457, -1405, -1157 (in meV per atom, following the order of the records).